# 1
{
  "formula": "CaTaBr2",
  "functional": "PBE",
  "state": "relaxed",
  "m_tot_mub_per_atom": 0.0749,
  "e_form_raw_ev_per_atom": -0.0288,
  "e_above_lowest_polymorph_mev_per_atom": 387,
  "lattice": [[-0.032, -1.861, 3.055], [-0.236, -1.382, -3.291], [9.482, -0.759, -0.362]],
  "species": ["Br", "Br", "Ca", "Ta"],
  "frac_coords": [[0.000, 0.000, 0.524], [0.000, 0.000, 0.976], [0.500, 0.500, 0.250], [0.500, 0.500, 0.750]]
}


# 2
{
  "formula": "NpUMnRu",
  "functional": "PBE",
  "state": "relaxed",
  "formation_energy_mev_per_atom": -106,
  "m_tot_mub_per_atom": 0.1243,
  "lattice": [[-1.150, -4.389, 0.232], [0.033, -2.148, 4.003], [-3.915, -1.222, 1.954]],
  "species": ["Mn", "Ru", "Np", "U"],
  "frac_coords": [[0.250, 0.250, 0.250], [0.500, 0.500, 0.500], [0.000, 0.000, 0.000], [0.750, 0.750, 0.750]]
}


Repeat the first record exactly.
{
  "formula": "CaTaBr2",
  "functional": "PBE",
  "state": "relaxed",
  "m_tot_mub_per_atom": 0.0749,
  "e_form_raw_ev_per_atom": -0.0288,
  "e_above_lowest_polymorph_mev_per_atom": 387,
  "lattice": [[-0.032, -1.861, 3.055], [-0.236, -1.382, -3.291], [9.482, -0.759, -0.362]],
  "species": ["Br", "Br", "Ca", "Ta"],
  "frac_coords": [[0.000, 0.000, 0.524], [0.000, 0.000, 0.976], [0.500, 0.500, 0.250], [0.500, 0.500, 0.750]]
}